Record 1
Entry from the Open Quantum Materials Database: a relaxed Na4MgZnGe2 crystal (GGA-PBE).

Unit cell a=4.7006 b=4.7006 c=9.7313 alpha=90.00 beta=90.00 gamma=120.00
Last column: nearest neighbours and their distance in Å.
Fractional positions:
Na1 0.0000 0.0000 0.1705  4 Na 3.12-3.32, 4 Ge 3.18-3.21, 3 Zn 3.18
Na2 0.0000 0.0000 0.8295  4 Na 3.12-3.32, 4 Ge 3.18-3.21, 3 Zn 3.18
Na3 0.6667 0.3333 0.3289  4 Na 3.12-3.33, 4 Ge 3.18-3.20, 3 Mg 3.18
Na4 0.6667 0.3333 0.6711  4 Na 3.12-3.33, 4 Ge 3.18-3.20, 3 Mg 3.18
Mg1 0.3333 0.6667 0.5000  3 Ge 2.71
Zn1 0.3333 0.6667 0.0000  3 Ge 2.71
Ge1 0.0000 0.0000 0.5000  3 Mg 2.71
Ge2 0.6667 0.3333 0.0000  3 Zn 2.71

Values from the calculation:
SG	P-6m2 (187)
total energy	-2.3029	eV per atom

Record 2
Entry from the Open Quantum Materials Database: a relaxed Mg2NbGe crystal (GGA-PBE).

Unit cell a=4.6929 b=4.6929 c=4.6929 alpha=60.00 beta=60.00 gamma=60.00
Last column: nearest neighbours and their distance in Å.
Fractional positions:
Mg1 0.0000 0.0000 0.0000  4 Nb 2.87, 4 Mg 2.87
Mg2 0.2500 0.2500 0.2500  4 Ge 2.87, 4 Mg 2.87
Nb1 0.7500 0.7500 0.7500  4 Ge 2.87, 4 Mg 2.87
Ge1 0.5000 0.5000 0.5000  4 Nb 2.87, 4 Mg 2.87

Values from the calculation:
SG	F-43m (216)
total energy	-4.1990	eV per atom

Record 3
Entry from the Open Quantum Materials Database: a relaxed MgNbNiGe crystal (GGA-PBE).

Unit cell a=4.4105 b=4.4105 c=4.4105 alpha=60.00 beta=60.00 gamma=60.00
Last column: nearest neighbours and their distance in Å.
Fractional positions:
Mg1 0.0000 0.0000 0.0000  4 Nb 2.70, 4 Ni 2.70
Nb1 0.2500 0.2500 0.2500  4 Ge 2.70, 4 Mg 2.70
Ni1 0.7500 0.7500 0.7500  4 Ge 2.70, 4 Mg 2.70
Ge1 0.5000 0.5000 0.5000  4 Nb 2.70, 4 Ni 2.70

Values from the calculation:
SG	F-43m (216)
total energy	-5.3563	eV per atom
ΔE to the lowest computed polymorph	0	meV/atom

Record 4
Entry from the Open Quantum Materials Database: a relaxed MgNbReGe crystal (GGA-PBE).

Unit cell a=4.4768 b=4.4768 c=4.4768 alpha=60.00 beta=60.00 gamma=60.00
Last column: nearest neighbours and their distance in Å.
Fractional positions:
Mg1 0.0000 0.0000 0.0000  4 Ge 2.74, 4 Nb 2.74
Nb1 0.2500 0.2500 0.2500  4 Re 2.74, 4 Mg 2.74
Re1 0.5000 0.5000 0.5000  4 Ge 2.74, 4 Nb 2.74
Ge1 0.7500 0.7500 0.7500  4 Re 2.74, 4 Mg 2.74

Values from the calculation:
SG	F-43m (216)
total energy	-7.1730	eV per atom
ΔE to the lowest computed polymorph	0	meV/atom

What is the total energy in the third record? -5.3563 eV per atom

What is the formula in the second record? Mg2NbGe

total energy of number 3 (MgNbNiGe)? -5.3563 eV per atom

The lowest total energy belongs to which entry? MgNbReGe